5
Lattice="-3.381 2.467 -1.994 -2.427 -2.551 -4.433 -5.147 -0.955 2.155" Properties=species:S:1:pos:R:3 comment="YSc4 | the Alexandria database | GGA-PBEsol | relaxed" final_energy_ev_per_atom=-6.591 m_tot_mub_per_cell=0.0 formation_enthalpy_0k_ev_per_atom=0.06 vol_a3_per_atom=24.7 pbc="T T T"
Sc -8.262 -0.313 -2.549
Sc -2.693 -0.726 -1.723
Sc -5.608 0.377 -0.805
Sc -5.347 -1.416 -3.467
Y 0.000 0.000 0.000